[1]
An optimized crystal structure of K2Tm2RhO6. Source: Alexandria, functional PBE-GGA.

The structure belongs to space group C2/m (No. 12); the cell edges are 5.709, 9.802 and 6.570 Å and the angles 90.00°, 105.34° and 90.00°. The distinct sites, in fractional coordinates, are K at (0.000, 0.161, 0.000), Tm at (0.000, 0.335, 0.500), Rh at (0.000, 0.000, 0.500), O at (0.208, 0.158, 0.673) and O at (0.245, 0.500, 0.675).

The value obtained for the mass density is 5.8 g/cm3. The value obtained for the total energy is -145.50 eV for the cell shown. The calculation puts the uncorrected formation energy at -2.228 eV/atom. The calculation puts the density of states at the Fermi level at 0.671 states/eV per atom.

---

[2]
An optimized crystal structure of InP2PtCl. Source: Alexandria, functional PBE-GGA.

The structure belongs to space group P4/mmm (No. 123); the cell edges are 5.040, 5.040 and 4.842 Å and the angles 90.00°, 90.00° and 90.00°. The distinct sites, in fractional coordinates, are In at (0.000, 0.000, 0.000), P at (0.000, 0.500, 0.000), Pt at (0.500, 0.500, 0.500) and Cl at (0.000, 0.000, 0.500).

The value obtained for the mass density is 5.5 g/cm3. The value obtained for the total energy is -15.53 eV for the cell shown. The calculation puts the uncorrected formation energy at 1.184 eV/atom. The value obtained for the relative energy among the computed polymorphs is 973 meV per atom. The calculation puts the density of states at the Fermi level at 0.613 states/eV per atom.

---

[3]
An optimized crystal structure of Ce3Bi2Pb. Source: Alexandria, functional PBE-GGA.

The structure belongs to space group P2_1/c (No. 14); the cell edges are 6.477, 13.743 and 9.161 Å and the angles 90.00°, 90.00° and 90.00°. The distinct sites, in fractional coordinates, are Ce at (0.249, 0.250, 0.375), Ce at (0.250, 0.583, 0.374), Ce at (0.250, 0.583, 0.877), Bi at (0.250, 0.083, 0.126), Bi at (0.251, 0.749, 0.625) and Pb at (0.250, 0.084, 0.624).

The value obtained for the mass density is 8.5 g/cm3. The value obtained for the total energy is -132.08 eV for the cell shown. The value obtained for the formation energy is -625 meV per atom. The value obtained for the relative energy among the computed polymorphs is 0 meV per atom. The calculation puts the density of states at the Fermi level at 2.958 states/eV per atom.

---

[4]
An optimized crystal structure of Na2Mn2H. Source: Alexandria, functional PBE-GGA.

The structure belongs to space group I4/mmm (No. 139); the cell edges are 3.081, 3.081 and 16.800 Å and the angles 90.00°, 90.00° and 90.00°. The distinct sites, in fractional coordinates, are Na at (0.000, 0.000, 0.087), Mn at (0.000, 0.500, 0.250) and H at (0.000, 0.000, 0.500).

The value obtained for the mass density is 3.3 g/cm3. The value obtained for the total energy is -43.76 eV for the cell shown. The value obtained for the relative energy among the computed polymorphs is 0 meV per atom. The calculation puts the density of states at the Fermi level at 0.594 states/eV per atom.

---

[5]
An optimized crystal structure of Tb2NiAs. Source: Alexandria, functional PBE-GGA.

The structure belongs to space group R-3m (No. 166, hexagonal axes); the cell edges are 3.8481, 3.8481 and 25.5708 Å and the angles 90.00°, 90.00° and 120.00°. The distinct sites, in fractional coordinates, are Tb at (0.0000, 0.0000, 0.0991), Ni at (0.0000, 0.0000, 0.0000) and As at (0.0000, 0.0000, 0.5000).

The value obtained for the mass density is 6.9 g/cm3. The value obtained for the total energy is -60.45 eV for the cell shown. The value obtained for the formation energy is -115 meV per atom. The calculation puts the density of states at the Fermi level at 0.858 states/eV per atom.

---

[6]
An optimized crystal structure of NiMoAs2. Source: Alexandria, functional PBE-GGA.

The structure belongs to space group F-43m (No. 216); the cell edges are 6.261, 6.261 and 6.261 Å and the angles 90.00°, 90.00° and 90.00°. The distinct sites, in fractional coordinates, are Ni at (0.000, 0.000, 0.000), Mo at (0.250, 0.250, 0.750), As at (0.000, 0.000, 0.500) and As at (0.250, 0.250, 0.250).

The value obtained for the mass density is 8.2 g/cm3. The value obtained for the total energy is -96.81 eV for the cell shown. The value obtained for the formation energy is 427 meV per atom. The calculation puts the density of states at the Fermi level at 1.032 states/eV per atom.

---

[7]
An optimized crystal structure of CdMoRu2. Source: Alexandria, functional PBE-GGA.

The structure belongs to space group I-4m2 (No. 119); the cell edges are 3.827, 3.827 and 8.547 Å and the angles 90.00°, 90.00° and 90.00°. The distinct sites, in fractional coordinates, are Cd at (0.000, 0.000, 0.000), Mo at (0.000, 0.500, 0.750), Ru at (0.000, 0.000, 0.500) and Ru at (0.000, 0.500, 0.250).

The value obtained for the mass density is 10.9 g/cm3. The value obtained for the total energy is -57.66 eV for the cell shown. The value obtained for the formation energy is 367 meV per atom. The calculation puts the density of states at the Fermi level at 0.863 states/eV per atom.

---

[8]
An optimized crystal structure of Pa2AlSi3Pd4. Source: Alexandria, functional PBE-GGA.

The structure belongs to space group P-4m2 (No. 115); the cell edges are 4.177, 4.177 and 10.080 Å and the angles 90.00°, 90.00° and 90.00°. The distinct sites, in fractional coordinates, are Pa at (0.000, 0.500, 0.246), Al at (0.000, 0.000, 0.500), Si at (0.000, 0.500, 0.867), Si at (0.500, 0.500, 0.500), Pd at (0.000, 0.000, 0.000), Pd at (0.000, 0.500, 0.632) and Pd at (0.500, 0.500, 0.000).

The value obtained for the mass density is 9.4 g/cm3. The value obtained for the total energy is -67.31 eV for the cell shown. The calculation puts the uncorrected formation energy at -0.754 eV/atom. The calculation puts the density of states at the Fermi level at 0.650 states/eV per atom.

---

[9]
An optimized crystal structure of CaHg5Rh. Source: Alexandria, functional PBE-GGA.

The structure belongs to space group P4/mmm (No. 123); the cell edges are 4.784, 4.784 and 7.386 Å and the angles 90.00°, 90.00° and 90.00°. The distinct sites, in fractional coordinates, are Ca at (0.000, 0.000, 0.000), Hg at (0.000, 0.500, 0.297), Hg at (0.500, 0.500, 0.000) and Rh at (0.000, 0.000, 0.500).

The value obtained for the mass density is 11.3 g/cm3. The value obtained for the total energy is -12.09 eV for the cell shown. The value obtained for the formation energy is -175 meV per atom. The calculation puts the density of states at the Fermi level at 0.631 states/eV per atom.

---

[10]
An optimized crystal structure of Mn4Ga3Fe2. Source: Alexandria, functional PBE-GGA.

The structure belongs to space group C2/m (No. 12); the cell edges are 7.246, 4.188 and 7.639 Å and the angles 90.00°, 90.08° and 90.00°. The distinct sites, in fractional coordinates, are Mn at (0.000, 0.000, 0.166), Mn at (0.167, 0.500, 0.605), Ga at (0.000, 0.000, 0.500), Ga at (0.166, 0.500, 0.255) and Fe at (0.167, 0.500, 0.934).

The value obtained for the mass density is 7.7 g/cm3. The value obtained for the total energy is -126.03 eV for the cell shown. The value obtained for the formation energy is -37 meV per atom. The calculation puts the density of states at the Fermi level at 0.718 states/eV per atom.

---

[11]
An optimized crystal structure of KCuBr2. Source: Alexandria, functional PBE-GGA.

The structure belongs to space group R-3m (No. 166, hexagonal axes); the cell edges are 4.1895, 4.1895 and 21.1976 Å and the angles 90.00°, 90.00° and 120.00°. The distinct sites, in fractional coordinates, are K at (0.0000, 0.0000, 0.0000), Cu at (0.0000, 0.0000, 0.5000) and Br at (0.0000, 0.0000, 0.2313).

The value obtained for the mass density is 4.1 g/cm3. The value obtained for the total energy is -35.56 eV for the cell shown. The calculation puts the uncorrected formation energy at -0.828 eV/atom. The value obtained for the relative energy among the computed polymorphs is 168 meV per atom.

---

[12]
An optimized crystal structure of Y2SiRh. Source: Alexandria, functional PBE-GGA.

The structure belongs to space group R3m (No. 160, hexagonal axes); the cell edges are 4.3045, 4.3045 and 17.1631 Å and the angles 90.00°, 90.00° and 120.00°. The distinct sites, in fractional coordinates, are Y at (0.0000, 0.0000, 0.0000), Y at (0.0000, 0.0000, 0.1903), Si at (0.0000, 0.0000, 0.4180) and Rh at (0.0000, 0.0000, 0.7702).

The value obtained for the mass density is 5.6 g/cm3. The value obtained for the total energy is -85.72 eV for the cell shown. The calculation puts the uncorrected formation energy at -0.717 eV/atom. The calculation puts the density of states at the Fermi level at 0.681 states/eV per atom.